This record from OQMD describes Li2CdW after structural relaxation. The functional is PBE.

For the total energy, the calculation gives -14.5 eV per cell. As for the total magnetic moment: 1.98 μB/f.u.

CIF file:
```
data_Li2CdW
_cell_length_a 4.535
_cell_length_b 4.535
_cell_length_c 4.535
_cell_angle_alpha 60.00
_cell_angle_beta 60.00
_cell_angle_gamma 60.00
_space_group_name_H-M_alt 'P 1'
_space_group_IT_number 1
loop_
_space_group_symop_operation_xyz
'x,y,z'
loop_
_atom_site_label
_atom_site_type_symbol
_atom_site_fract_x
_atom_site_fract_y
_atom_site_fract_z
_atom_site_occupancy
Li1 Li 0.000 0.000 0.000 1
Li2 Li 0.250 0.250 0.250 1
Cd1 Cd 0.750 0.750 0.750 1
W1 W 0.500 0.500 0.500 1
```

=====

This record from OQMD describes LiCdW2 after structural relaxation. The functional is PBE.

For the total energy, the calculation gives -26.3 eV per cell. As for the total magnetic moment: 0.00 μB/f.u.

CIF file:
```
data_LiCdW2
_cell_length_a 4.513
_cell_length_b 4.513
_cell_length_c 4.513
_cell_angle_alpha 60.00
_cell_angle_beta 60.00
_cell_angle_gamma 60.00
_space_group_name_H-M_alt 'P 1'
_space_group_IT_number 1
loop_
_space_group_symop_operation_xyz
'x,y,z'
loop_
_atom_site_label
_atom_site_type_symbol
_atom_site_fract_x
_atom_site_fract_y
_atom_site_fract_z
_atom_site_occupancy
Li1 Li 0.000 0.000 0.000 1
Cd1 Cd 0.250 0.250 0.250 1
W1 W 0.500 0.500 0.500 1
W2 W 0.750 0.750 0.750 1
```

=====

This record from OQMD describes Li3Zn2Cd after structural relaxation. The functional is PBE.

For the total energy, the calculation gives -10.2 eV per cell.

CIF file:
```
data_Li3Zn2Cd
_cell_length_a 4.481
_cell_length_b 4.472
_cell_length_c 5.222
_cell_angle_alpha 90.00
_cell_angle_beta 115.37
_cell_angle_gamma 90.00
_space_group_name_H-M_alt 'P 1'
_space_group_IT_number 1
loop_
_space_group_symop_operation_xyz
'x,y,z'
loop_
_atom_site_label
_atom_site_type_symbol
_atom_site_fract_x
_atom_site_fract_y
_atom_site_fract_z
_atom_site_occupancy
Li1 Li 0.000 0.000 0.000 1
Li2 Li 0.175 0.500 0.366 1
Li3 Li 0.680 0.000 0.359 1
Zn1 Zn 0.335 0.000 0.666 1
Zn2 Zn 0.823 0.500 0.664 1
Cd1 Cd 0.500 0.500 0.017 1
```